## ZrScMo2 (meta-GGA SCAN)

Data for a PBEsol-optimized structure of ZrScMo2.

abc: 3.897 3.897 4.711
angles: 90.00 90.00 90.00
Space group P4/mmm (No. 123)
Unique sites:
1 Zr 0.000 0.000 0.000 [1 per cell]
2 Sc 0.500 0.500 0.000 [1 per cell]
3 Mo 0.000 0.500 0.500 [2 per cell]

Computed properties:
N(E_F) in states/eV per cell: 3.8
Raw total energy in eV/atom: -28.36

=====

## Zr2ScMo (meta-GGA SCAN)

Data for a PBEsol-optimized structure of Zr2ScMo.

abc: 3.393 4.800 9.893
angles: 90.00 90.00 90.00
Space group Imm2 (No. 44)
Unique sites:
1 Zr 0.000 0.000 0.000 [2 per cell]
2 Zr 0.000 0.500 0.217 [2 per cell]
3 Sc 0.000 0.000 0.437 [2 per cell]
4 Mo 0.000 0.500 0.708 [2 per cell]

Computed properties:
N(E_F) in states/eV per cell: 8.9
Raw total energy in eV/atom: -27.59

=====

## ZrScMo (meta-GGA SCAN)

Data for a PBEsol-optimized structure of ZrScMo.

abc: 6.378 6.378 6.378
angles: 90.00 90.00 90.00
Space group F-43m (No. 216)
Unique sites:
1 Zr 0.000 0.000 0.000 [4 per cell]
2 Sc 0.000 0.000 0.500 [4 per cell]
3 Mo 0.250 0.250 0.250 [4 per cell]

Computed properties:
N(E_F) in states/eV per cell: 12.7
Raw total energy in eV/atom: -26.06

=====

## Zr2ScMo (meta-GGA SCAN)

Data for a PBEsol-optimized structure of Zr2ScMo.

abc: 3.397 5.029 9.513
angles: 90.00 90.00 90.00
Space group Immm (No. 71)
Unique sites:
1 Zr 0.000 0.000 0.217 [4 per cell]
2 Sc 0.000 0.500 0.000 [2 per cell]
3 Mo 0.000 0.500 0.500 [2 per cell]

Computed properties:
N(E_F) in states/eV per cell: 8.3
Raw total energy in eV/atom: -27.60

=====

## ZrScMo2 (meta-GGA SCAN)

Data for a PBEsol-optimized structure of ZrScMo2.

abc: 2.848 4.536 5.510
angles: 90.00 98.52 90.00
Space group P2/m (No. 10)
Unique sites:
1 Zr 0.000 0.000 0.000 [1 per cell]
2 Sc 0.500 0.000 0.500 [1 per cell]
3 Mo 0.231 0.500 0.749 [2 per cell]

Computed properties:
N(E_F) in states/eV per cell: 4.2
Raw total energy in eV/atom: -28.49

=====

## Mo3Se4 (meta-GGA SCAN)

Data for a PBEsol-optimized structure of Mo3Se4.

abc: 9.4501 9.4501 11.1723
angles: 90.00 90.00 120.00
Space group R-3 (No. 148, hexagonal axes)
Unique sites:
1 Mo 0.0196 0.8476 0.3942 [18 per cell]
2 Se 0.0000 0.0000 0.2145 [6 per cell]
3 Se 0.0035 0.6285 0.2480 [18 per cell]

Computed properties:
N(E_F) in states/eV per cell: 33.0
ΔE_f (raw) in eV per atom: -0.545
Raw total energy in eV/atom: -26.97

=====

## Mo9Se11 (meta-GGA SCAN)

Data for a PBEsol-optimized structure of Mo9Se11.

abc: 9.3546 9.3546 12.0865
angles: 90.00 90.00 120.00
Space group P6_3/m (No. 176)
Unique sites:
1 Mo 0.1590 0.5155 0.0609 [12 per cell]
2 Mo 0.1774 0.6821 0.2500 [6 per cell]
3 Se 0.0019 0.3686 0.2500 [6 per cell]
4 Se 0.0383 0.7078 0.0783 [12 per cell]
5 Se 0.3333 0.6667 0.6040 [4 per cell]

Computed properties:
N(E_F) in states/eV per cell: 22.1
ΔE_f (raw) in eV per atom: -0.517
Raw total energy in eV/atom: -27.26

=====

## Mo3Se4 (meta-GGA SCAN)

Data for a PBEsol-optimized structure of Mo3Se4.

abc: 3.053 3.053 27.473
angles: 90.00 90.00 90.00
Space group I4/mmm (No. 139)
Unique sites:
1 Mo 0.000 0.000 0.000 [2 per cell]
2 Mo 0.000 0.000 0.285 [4 per cell]
3 Se 0.000 0.000 0.165 [4 per cell]
4 Se 0.000 0.000 0.444 [4 per cell]

Computed properties:
N(E_F) in states/eV per cell: 7.4
ΔE_f (raw) in eV per atom: -0.207
Raw total energy in eV/atom: -26.63

=====

## Mo5Se (meta-GGA SCAN)

Data for a PBEsol-optimized structure of Mo5Se.

abc: 4.391 9.440 4.383
angles: 90.00 90.00 90.00
Space group Cmmm (No. 65)
Unique sites:
1 Mo 0.000 0.000 0.000 [2 per cell]
2 Mo 0.000 0.163 0.500 [4 per cell]
3 Mo 0.000 0.331 0.000 [4 per cell]
4 Se 0.000 0.500 0.500 [2 per cell]

Computed properties:
N(E_F) in states/eV per cell: 7.2
ΔE_f (raw) in eV per atom: 0.211
Raw total energy in eV/atom: -32.21

=====

## Mo9Se11 (meta-GGA SCAN)

Data for a PBEsol-optimized structure of Mo9Se11.

abc: 11.929 13.057 10.930
angles: 90.00 90.00 90.00
Space group Cmcm (No. 63)
Unique sites:
1 Mo 0.000 0.147 0.250 [4 per cell]
2 Mo 0.000 0.324 0.127 [8 per cell]
3 Mo 0.190 0.384 0.250 [8 per cell]
4 Mo 0.191 0.210 0.128 [16 per cell]
5 Se 0.000 0.154 0.014 [8 per cell]
6 Se 0.000 0.492 0.250 [4 per cell]
7 Se 0.142 0.230 0.750 [8 per cell]
8 Se 0.174 0.385 0.016 [16 per cell]
9 Se 0.177 0.042 0.250 [8 per cell]

Computed properties:
N(E_F) in states/eV per cell: 51.8
ΔE_f (raw) in eV per atom: -0.509
Raw total energy in eV/atom: -27.25

=====

## SiMo2Se (meta-GGA SCAN)

Data for a PBEsol-optimized structure of SiMo2Se.

abc: 6.223 6.223 6.223
angles: 90.00 90.00 90.00
Space group F-43m (No. 216)
Unique sites:
1 Si 0.000 0.000 0.000 [4 per cell]
2 Mo 0.000 0.000 0.500 [4 per cell]
3 Mo 0.250 0.250 0.250 [4 per cell]
4 Se 0.250 0.250 0.750 [4 per cell]

Computed properties:
N(E_F) in states/eV per cell: 10.5
ΔE_f (raw) in eV per atom: 0.470
Raw total energy in eV/atom: -24.50

=====

## Si4MoSe (meta-GGA SCAN)

Data for a PBEsol-optimized structure of Si4MoSe.

abc: 7.055 7.055 7.055
angles: 90.00 90.00 90.00
Space group F-43m (No. 216)
Unique sites:
1 Si 0.124 0.124 0.124 [16 per cell]
2 Mo 0.000 0.000 0.500 [4 per cell]
3 Se 0.250 0.250 0.750 [4 per cell]

Computed properties:
N(E_F) in states/eV per cell: 16.3
ΔE_f (raw) in eV per atom: 0.736
Raw total energy in eV/atom: -15.10